Material: Nd5Sm12Er2
Method: DFT, GGA-PBE
State: relaxed

Cell lengths 18.6922, 7.1866, 10.4853 Å; angles 90.00, 111.58, 90.00 degrees
With the nearest neighbours (Å) after each atom.
Space group C2/m (No. 12)
Asymmetric unit:
Nd: 0.0000 0.0000 0.0000 (multiplicity 2)  2 Sm 2.90
Nd: 0.1758 0.5000 0.7084 (multiplicity 4)  2 Er 3.58, 2 Nd 3.61, 9 Sm 3.74-3.92
Nd: 0.1849 0.0000 0.6836 (multiplicity 4)  5 Sm 3.30-3.64, 2 Nd 3.61
Sm: 0.0019 0.5000 0.8197 (multiplicity 4)  7 Sm 3.44-3.81, 2 Er 3.70, 1 Nd 3.84
Sm: 0.0227 0.0000 0.7413 (multiplicity 4)  1 Nd 2.90, 2 Er 3.13
Sm: 0.1594 0.2482 0.3669 (multiplicity 8)  6 Sm 3.44-3.69, 2 Nd 3.63-3.64, 1 Er 3.73
Sm: 0.1654 0.2511 0.0194 (multiplicity 8)  6 Sm 3.33-3.69, 1 Nd 3.52
Er: 0.0000 0.2786 0.5000 (multiplicity 4)  2 Sm 3.13, 1 Er 3.18

Values from the calculation:
* calculated density: 7.3 g/cm3
* relative energy among the computed polymorphs: 1.662 kcal/mol of atoms
* ΔE_f: 0.17 eV per atom
* total magnetization: 0.00 μB per formula unit